The following is a PBEsol calculation of an optimized crystal structure of HfBeRhI2, from the Alexandria database.

Unit cell a=5.258 b=5.258 c=4.047 alpha=90.00 beta=90.00 gamma=90.00
Positions (direct):
Hf  0.000  0.000  0.000
Be  0.500  0.500  0.000
Rh  0.500  0.500  0.500
I  0.000  0.500  0.500
I  0.500  0.000  0.500

Values from the calculation:
For the total magnetic moment, the calculation gives 0.00 μB/f.u. For the raw formation energy, the calculation gives 0.66 eV/atom. Its space group is P4/mmm (123).

---

The following is a PBEsol calculation of an optimized crystal structure of Te2AsBr, from the Alexandria database.

Unit cell a=3.391 b=3.391 c=9.407 alpha=90.00 beta=90.00 gamma=114.77
Positions (direct):
Te  0.000  0.000  0.234
Te  0.000  0.000  0.766
As  0.500  0.500  0.000
Br  0.500  0.500  0.500

Values from the calculation:
For the total magnetic moment, the calculation gives 0.00 μB/f.u. For the raw formation energy, the calculation gives 0.21 eV/atom. Its space group is Cmmm (65).

---

The following is a PBEsol calculation of an optimized crystal structure of Li4CrTe3O12, from the Alexandria database.

Unit cell a=4.941 b=8.648 c=5.119 alpha=90.00 beta=93.51 gamma=90.00
Positions (direct):
Li  0.000  0.000  0.000
Li  0.000  0.313  0.500
Li  0.500  0.483  0.500
Li  0.500  0.886  0.000
Cr  0.500  0.078  0.500
Te  0.000  0.579  0.000
Te  0.000  0.786  0.500
Te  0.500  0.255  0.000
O  0.206  0.764  0.834
O  0.220  0.622  0.353
O  0.241  0.935  0.349
O  0.278  0.407  0.815
O  0.294  0.239  0.312
O  0.302  0.087  0.812
O  0.698  0.087  0.188
O  0.706  0.239  0.688
O  0.722  0.407  0.185
O  0.759  0.935  0.651
O  0.780  0.622  0.647
O  0.794  0.764  0.166

Values from the calculation:
For the total magnetic moment, the calculation gives 1.96 μB/f.u. For the raw formation energy, the calculation gives -1.51 eV/atom. Its space group is P2 (3).

---

The following is a PBEsol calculation of an optimized crystal structure of ZrSi3Pd3, from the Alexandria database.

Unit cell a=8.001 b=8.001 c=6.969 alpha=90.00 beta=90.00 gamma=152.45
Positions (direct):
Zr  0.012  0.988  0.750
Zr  0.988  0.012  0.250
Si  0.263  0.737  0.750
Si  0.426  0.574  0.535
Si  0.426  0.574  0.965
Si  0.574  0.426  0.035
Si  0.574  0.426  0.465
Si  0.737  0.263  0.250
Pd  0.175  0.825  0.052
Pd  0.175  0.825  0.448
Pd  0.339  0.661  0.250
Pd  0.661  0.339  0.750
Pd  0.825  0.175  0.552
Pd  0.825  0.175  0.948

Values from the calculation:
For the total magnetic moment, the calculation gives 0.00 μB/f.u. For the raw formation energy, the calculation gives -0.82 eV/atom. Its space group is Cmcm (63).

---

The following is a PBEsol calculation of an optimized crystal structure of AlSi2W, from the Alexandria database.

Unit cell a=4.365 b=4.943 c=4.943 alpha=33.80 beta=90.00 gamma=90.00
Positions (direct):
Al  0.000  0.000  0.000
Si  0.000  0.741  0.741
Si  0.500  0.335  0.335
W  0.500  0.606  0.606

Values from the calculation:
For the total magnetic moment, the calculation gives 0.00 μB/f.u. For the raw formation energy, the calculation gives 0.05 eV/atom. Its space group is Amm2 (38).

---

The following is a PBEsol calculation of an optimized crystal structure of Sr2Ni, from the Alexandria database.

Unit cell a=7.356 b=7.356 c=7.850 alpha=115.23 beta=115.23 gamma=32.05
Positions (direct):
Sr  0.020  0.020  0.252
Sr  0.269  0.269  0.221
Sr  0.731  0.731  0.779
Sr  0.980  0.980  0.748
Ni  0.410  0.410  0.966
Ni  0.590  0.590  0.034

Values from the calculation:
Its formation enthalpy at 0 K is 3.8 kJ per mole of atoms. For the total magnetic moment, the calculation gives 0.00 μB/f.u. Its space group is C2/m (12).

---

What is the total magnetic moment in the fourth record?
0.00 μB/f.u.

---

Among the records above, which one has the highest total magnetic moment?
Li4CrTe3O12